# 1
Computed, not measured: an optimized crystal structure of MgGa2FeIr4 at the PBE level of DFT.

The structure belongs to space group P4/mmm (No. 123); the cell edges are 4.308, 4.308 and 6.096 Å and the angles 90.00°, 90.00° and 90.00°. The asymmetric unit holds Mg at (0.000, 0.000, 0.000), Ga at (0.000, 0.000, 0.500), Ga at (0.500, 0.500, 0.000), Fe at (0.500, 0.500, 0.500) and Ir at (0.000, 0.500, 0.257).

As for the calculated total energy: -54.34 eV/cell.



# 2
Computed, not measured: an optimized crystal structure of TaAlTe at the PBE level of DFT.

The structure belongs to space group F-43m (No. 216); the cell edges are 6.562, 6.562 and 6.562 Å and the angles 90.00°, 90.00° and 90.00°. The asymmetric unit holds Ta at (0.000, 0.000, 0.000), Al at (0.250, 0.250, 0.750) and Te at (0.250, 0.250, 0.250).

The value obtained for the energy relative to the lowest polymorph listed for this composition is 0.0 meV per atom.



# 3
Computed, not measured: an optimized crystal structure of PuZnB at the PBE level of DFT.

The structure belongs to space group F-43m (No. 216); the cell edges are 6.047, 6.047 and 6.047 Å and the angles 90.00°, 90.00° and 90.00°. The asymmetric unit holds Pu at (0.000, 0.000, 0.000), Zn at (0.250, 0.250, 0.750) and B at (0.000, 0.000, 0.500).

The value obtained for the energy relative to the lowest polymorph listed for this composition is 639.5 meV per atom.